A relaxed structure of ScCr2Os, computed with GGA-PBE.

Properties
Energy of formation: 61 meV per atom
Volume: 14.763 Å³ per atom
E above lowest polymorph: 16 meV per atom

Cell lengths 3.085, 4.286, 4.466 Å; angles 90.00, 90.00, 90.00 degrees
Fractional coordinates of all 4 atoms:
Sc 0.000 0.000 0.000
Cr 0.000 0.500 0.500
Cr 0.500 0.000 0.500
Os 0.500 0.500 0.000

A relaxed structure of ScCrOs2, computed with GGA-PBE.

Properties
Energy of formation: 380 meV per atom
Volume: 15.010 Å³ per atom
E above lowest polymorph: 480 meV per atom

Cell lengths 2.996, 4.549, 8.810 Å; angles 90.00, 90.00, 90.00 degrees
Fractional coordinates of all 8 atoms:
Sc 0.000 0.000 0.000
Sc 0.500 0.500 0.000
Cr 0.000 0.500 0.259
Cr 0.500 0.000 0.259
Os 0.000 0.000 0.481
Os 0.000 0.500 0.742
Os 0.500 0.000 0.742
Os 0.500 0.500 0.481

A relaxed structure of ScCr2Os, computed with GGA-PBE.

Properties
Energy of formation: 315 meV per atom
Volume: 14.542 Å³ per atom
E above lowest polymorph: 271 meV per atom

Cell lengths 3.646, 3.646, 8.750 Å; angles 90.00, 90.00, 90.00 degrees
Fractional coordinates of all 8 atoms:
Sc 0.000 0.000 0.000
Sc 0.500 0.500 0.500
Cr 0.000 0.500 0.250
Cr 0.000 0.500 0.750
Cr 0.500 0.000 0.250
Cr 0.500 0.000 0.750
Os 0.000 0.000 0.500
Os 0.500 0.500 0.000

A relaxed structure of ScCrOs2, computed with GGA-PBE.

Properties
Energy of formation: 112 meV per atom
Volume: 14.914 Å³ per atom
E above lowest polymorph: 212 meV per atom

Cell lengths 2.783, 4.343, 5.033 Å; angles 90.00, 101.30, 90.00 degrees
Fractional coordinates of all 4 atoms:
Sc 0.000 0.000 0.000
Cr 0.691 0.500 0.250
Os 0.255 0.500 0.738
Os 0.585 0.000 0.485

A relaxed structure of ScCrOs2, computed with GGA-PBE.

Properties
Energy of formation: 164 meV per atom
Volume: 14.974 Å³ per atom
E above lowest polymorph: 264 meV per atom

Cell lengths 2.816, 2.816, 26.159 Å; angles 90.00, 90.00, 120.00 degrees
Fractional coordinates of all 12 atoms:
Sc 0.000 0.000 0.000
Sc 0.333 0.667 0.667
Sc 0.667 0.333 0.333
Cr 0.000 0.000 0.500
Cr 0.333 0.667 0.167
Cr 0.667 0.333 0.833
Os 0.000 0.000 0.243
Os 0.000 0.000 0.757
Os 0.333 0.667 0.424
Os 0.333 0.667 0.910
Os 0.667 0.333 0.090
Os 0.667 0.333 0.576

A relaxed structure of Sc4CrOs, computed with GGA-PBE.

Properties
Energy of formation: 660 meV per atom
Volume: 19.528 Å³ per atom

Cell lengths 5.493, 5.493, 5.493 Å; angles 60.00, 60.00, 60.00 degrees
Fractional coordinates of all 6 atoms:
Sc 0.377 0.377 0.377
Sc 0.377 0.377 0.870
Sc 0.377 0.870 0.377
Sc 0.870 0.377 0.377
Cr 0.000 0.000 0.000
Os 0.750 0.750 0.750

A relaxed structure of ScCrOs2, computed with GGA-PBE.

Properties
Energy of formation: 168 meV per atom
Volume: 15.265 Å³ per atom
E above lowest polymorph: 268 meV per atom

Cell lengths 3.795, 3.795, 8.481 Å; angles 90.00, 90.00, 90.00 degrees
Fractional coordinates of all 8 atoms:
Sc 0.000 0.000 0.000
Sc 0.500 0.500 0.500
Cr 0.000 0.500 0.750
Cr 0.500 0.000 0.250
Os 0.000 0.000 0.500
Os 0.000 0.500 0.250
Os 0.500 0.000 0.750
Os 0.500 0.500 0.000

A relaxed structure of ScCrOs2, computed with GGA-PBE.

Properties
Energy of formation: 139 meV per atom
Volume: 14.968 Å³ per atom
E above lowest polymorph: 239 meV per atom

Cell lengths 3.039, 3.039, 6.484 Å; angles 90.00, 90.00, 90.00 degrees
Fractional coordinates of all 4 atoms:
Sc 0.000 0.000 0.000
Cr 0.500 0.500 0.266
Os 0.000 0.000 0.473
Os 0.500 0.500 0.735

A relaxed structure of ScCrOs2, computed with GGA-PBE.

Properties
Energy of formation: 115 meV per atom
Volume: 14.789 Å³ per atom
E above lowest polymorph: 216 meV per atom

Cell lengths 6.185, 6.185, 6.185 Å; angles 90.00, 90.00, 90.00 degrees
Fractional coordinates of all 16 atoms:
Sc 0.000 0.000 0.000
Sc 0.000 0.500 0.500
Sc 0.500 0.000 0.500
Sc 0.500 0.500 0.000
Cr 0.250 0.250 0.250
Cr 0.250 0.750 0.750
Cr 0.750 0.250 0.750
Cr 0.750 0.750 0.250
Os 0.000 0.000 0.500
Os 0.000 0.500 0.000
Os 0.250 0.250 0.750
Os 0.250 0.750 0.250
Os 0.500 0.000 0.000
Os 0.500 0.500 0.500
Os 0.750 0.250 0.250
Os 0.750 0.750 0.750

A relaxed structure of ScCrOs2, computed with GGA-PBE.

Properties
Energy of formation: 164 meV per atom
Volume: 16.015 Å³ per atom
E above lowest polymorph: 264 meV per atom

Cell lengths 2.831, 2.831, 7.995 Å; angles 90.00, 90.00, 90.00 degrees
Fractional coordinates of all 4 atoms:
Sc 0.000 0.000 0.000
Cr 0.500 0.500 0.294
Os 0.000 0.000 0.517
Os 0.500 0.500 0.733

Record order is preserved below.
Magnetization: 0.17; 0.00; 0.00; 0.00; 0.00; 0.62; 0.49; 0.00; 0.00; 0.73 μB/atom